Entry 1:
## HoInAgRu (PBE-GGA)

Data for an optimized crystal structure of HoInAgRu.

For the energy relative to the elements, the calculation gives -0.199 eV per atom. Its total energy is -5.0597 eV per atom.

Cell: 6.797 6.797 6.797 Å, 90.00 90.00 90.00°
Space group F-43m (No. 216)
Asymmetric unit:
Ho 0.000 0.000 0.000 [4 per cell]
In 0.000 0.000 0.500 [4 per cell]
Ag 0.250 0.250 0.250 [4 per cell]
Ru 0.250 0.250 0.750 [4 per cell]



Entry 2:
## Ac3Al4Pd2 (PBE-GGA)

Data for an optimized crystal structure of Ac3Al4Pd2.

For the energy relative to the elements, the calculation gives -0.566 eV per atom. Its total energy is -4.7533 eV per atom.

Cell: 12.205 4.388 9.082 Å, 90.00 101.44 90.00°
Space group C2/m (No. 12)
Asymmetric unit:
Ac 0.000 0.000 0.000 [2 per cell]
Ac 0.176 0.500 0.659 [4 per cell]
Al 0.046 0.000 0.379 [4 per cell]
Al 0.225 0.500 0.064 [4 per cell]
Pd 0.106 0.500 0.270 [4 per cell]



Entry 3:
## Ac3Cu2TcO9 (PBE-GGA)

Data for an optimized crystal structure of Ac3Cu2TcO9.

The energy relative to the elements, uncorrected comes out at -2137 meV per atom. Its total energy is -7.1712 eV per atom.

Cell: 5.6606 5.6606 6.9942 Å, 90.00 90.00 120.00°
Space group P-3m1 (No. 164)
Asymmetric unit:
Ac 0.0000 0.0000 0.0000 [1 per cell]
Ac 0.3333 0.6667 0.6878 [2 per cell]
Cu 0.3333 0.6667 0.1629 [2 per cell]
Tc 0.0000 0.0000 0.5000 [1 per cell]
O 0.0000 0.5000 0.0000 [3 per cell]
O 0.1632 0.3263 0.3330 [6 per cell]



Please write out number 1 again, unchanged.
## HoInAgRu (PBE-GGA)

Data for an optimized crystal structure of HoInAgRu.

For the energy relative to the elements, the calculation gives -0.199 eV per atom. Its total energy is -5.0597 eV per atom.

Cell: 6.797 6.797 6.797 Å, 90.00 90.00 90.00°
Space group F-43m (No. 216)
Asymmetric unit:
Ho 0.000 0.000 0.000 [4 per cell]
In 0.000 0.000 0.500 [4 per cell]
Ag 0.250 0.250 0.250 [4 per cell]
Ru 0.250 0.250 0.750 [4 per cell]